Computed, not measured: a geometry-optimized CsNpTe3Au structure at the PBE level of DFT.

The structure in POSCAR format:
```
CsNpTe3Au
1.0
2.229 -8.590 0.000
2.229 8.590 0.000
0.000 0.000 11.408
Cs Np Te Au
2 2 6 2
Cartesian
2.229 4.313 8.556 Cs
2.229 -4.313 2.852 Cs
0.000 0.000 0.000 Np
0.000 0.000 5.704 Np
2.229 7.504 2.852 Te
2.229 2.077 0.505 Te
2.229 2.077 5.200 Te
2.229 -2.077 6.209 Te
2.229 -2.077 10.904 Te
2.229 -7.504 8.556 Te
2.229 0.645 2.852 Au
2.229 -0.645 8.556 Au
```

Values from the calculation:
Energy in eV/atom: -5.133
Crystal system: orthorhombic
Space group: Cmcm, No. 63